Record 1
VASP calculation (PBE) on a relaxed TlAsW4 crystal.

Cell: 7.647 7.647 7.647 Å, 90.00 90.00 90.00°
Space group F-43m (No. 216)
Inequivalent atoms, fractional coordinates:
Tl 0.000 0.000 0.000 (multiplicity 4)
As 0.250 0.250 0.250 (multiplicity 4)
W 0.126 0.126 0.626 (multiplicity 16)

D(E_F)   0.700 states/eV per atom
Total magnetic moment   0.0 μB/cell
Total DFT energy (no corrections)   -214.107 eV per cell


Record 2
VASP calculation (PBE) on a relaxed Co2SbOs2 crystal.

Cell: 3.413 3.413 12.817 Å, 90.00 90.00 90.00°
Space group I4/mmm (No. 139)
Inequivalent atoms, fractional coordinates:
Co 0.000 0.500 0.250 (multiplicity 4)
Sb 0.000 0.000 0.000 (multiplicity 2)
Os 0.000 0.000 0.390 (multiplicity 4)

D(E_F)   1.225 states/eV per atom
Total magnetic moment   2.3 μB/cell
Total DFT energy (no corrections)   -76.072 eV per cell
Energy above the most stable polymorph in this dataset   50.3 meV per atom


- What is the D(E_F) in the second record?
  1.225 states/eV per atom


- total DFT energy (no corrections) of number 2 (Co2SbOs2)?
  -76.072 eV per cell